Entry 1:
The following is a DFT calculation (PBE) of an optimized crystal structure of PuFeH8Rh2.

Unit cell a=6.0637 b=6.0637 c=6.0637 alpha=44.42 beta=44.42 gamma=44.42
Sites, in units of the cell vectors:
Pu 0.0000 0.0000 0.0000
Fe 0.5000 0.5000 0.5000
H 0.1568 0.3975 0.7846
H 0.2154 0.8432 0.6025
H 0.3118 0.3118 0.3118
H 0.3975 0.7846 0.1568
H 0.6025 0.2154 0.8432
H 0.6882 0.6882 0.6882
H 0.7846 0.1568 0.3975
H 0.8432 0.6025 0.2154
Rh 0.2085 0.2085 0.2085
Rh 0.7915 0.7915 0.7915

Calculated values
Fermi-level density of states in states/eV per cell: 15.2
E in eV/atom: -5.442
Size of the total moment in Bohr magnetons per cell: 7.64

---

Entry 2:
The following is a DFT calculation (PBE) of an optimized crystal structure of Pr3Er5In.

Unit cell a=7.7687 b=7.7687 c=11.6793 alpha=94.46 beta=94.46 gamma=61.83
Sites, in units of the cell vectors:
Pr 0.0000 0.0000 0.0000
Pr 0.0000 0.0000 0.5000
Pr 0.2659 0.2659 0.4758
Pr 0.3450 0.3450 0.7841
Pr 0.6550 0.6550 0.2159
Pr 0.7341 0.7341 0.5242
Er 0.0793 0.6663 0.2333
Er 0.2452 0.2452 0.0327
Er 0.3316 0.6684 0.0000
Er 0.3337 0.9207 0.7667
Er 0.4925 0.4925 0.3688
Er 0.5075 0.5075 0.6312
Er 0.6663 0.0793 0.2333
Er 0.6684 0.3316 0.0000
Er 0.7548 0.7548 0.9673
Er 0.9207 0.3337 0.7667
In 0.1011 0.1011 0.2537
In 0.8989 0.8989 0.7463

Calculated values
Fermi-level density of states in states/eV per cell: 25.5
Size of the total moment in Bohr magnetons per cell: 0.00
Formation energy in meV/atom: 397

---

Entry 3:
The following is a DFT calculation (PBE) of an optimized crystal structure of Sm3Dy2Ni2.

Unit cell a=6.3280 b=6.3280 c=8.9861 alpha=113.52 beta=113.52 gamma=33.86
Sites, in units of the cell vectors:
Sm 0.0000 0.0000 0.0000
Sm 0.1145 0.1145 0.4306
Sm 0.8855 0.8855 0.5694
Dy 0.3311 0.3311 0.1901
Dy 0.6689 0.6689 0.8099
Ni 0.3287 0.3287 0.7687
Ni 0.6713 0.6713 0.2313

Calculated values
Fermi-level density of states in states/eV per cell: 9.6
Size of the total moment in Bohr magnetons per cell: 0.00
Formation energy in meV/atom: -212

---

Entry 4:
The following is a DFT calculation (PBE) of an optimized crystal structure of NdSm8C4.

Unit cell a=9.4640 b=9.4640 c=12.7681 alpha=131.06 beta=131.06 gamma=22.38
Sites, in units of the cell vectors:
Nd 0.0000 0.0000 0.0000
Sm 0.0416 0.0416 0.7330
Sm 0.2936 0.2936 0.9347
Sm 0.3355 0.3355 0.6525
Sm 0.3617 0.3617 0.4031
Sm 0.6383 0.6383 0.5969
Sm 0.6645 0.6645 0.3475
Sm 0.7064 0.7064 0.0653
Sm 0.9584 0.9584 0.2670
C 0.1504 0.1504 0.4701
C 0.3323 0.3323 0.1720
C 0.6677 0.6677 0.8280
C 0.8496 0.8496 0.5299

Calculated values
Fermi-level density of states in states/eV per cell: 13.2
Size of the total moment in Bohr magnetons per cell: 0.06
Formation energy in meV/atom: -60